Compound: LaCoN
Source: the Alexandria database
Functional: GGA-PBE
Structure: relaxed

```
LaCoN
1.0
2.619 -4.215 0.000
2.619 4.215 0.000
0.000 0.000 4.628
La Co N
2 2 2
Direct
0.184 0.816 0.750 La
0.816 0.184 0.250 La
0.500 0.500 0.000 Co
0.500 0.500 0.500 Co
0.325 0.675 0.250 N
0.675 0.325 0.750 N
```

Summary:
As for the total moment: 0.205 μB/atom. For the theoretical density, the calculation gives 6.9 g/cm³. The total energy comes out at -7.523 eV/atom. The uncorrected formation energy is -2.2 eV per formula unit.

***

Compound: La3Co5N12
Source: the Alexandria database
Functional: GGA-PBE
Structure: relaxed

```
La3Co5N12
1.0
-6.200 6.200 6.200
6.200 -6.200 6.200
6.200 6.200 -6.200
La Co N
12 20 48
Direct
0.125 0.250 0.375 La
0.125 0.375 0.750 La
0.250 0.375 0.125 La
0.250 0.875 0.625 La
0.375 0.125 0.250 La
0.375 0.750 0.125 La
0.625 0.250 0.875 La
0.625 0.875 0.750 La
0.750 0.125 0.375 La
0.750 0.625 0.875 La
0.875 0.625 0.250 La
0.875 0.750 0.625 La
0.000 0.000 0.000 Co
0.000 0.000 0.500 Co
0.000 0.500 0.000 Co
0.000 0.500 0.500 Co
0.125 0.750 0.875 Co
0.125 0.875 0.250 Co
0.250 0.125 0.875 Co
0.250 0.625 0.375 Co
0.375 0.250 0.625 Co
0.375 0.625 0.750 Co
0.500 0.000 0.000 Co
0.500 0.000 0.500 Co
0.500 0.500 0.000 Co
0.500 0.500 0.500 Co
0.625 0.375 0.250 Co
0.625 0.750 0.375 Co
0.750 0.375 0.625 Co
0.750 0.875 0.125 Co
0.875 0.125 0.750 Co
0.875 0.250 0.125 Co
0.006 0.193 0.108 N
0.006 0.313 0.898 N
0.085 0.693 0.687 N
0.085 0.892 0.398 N
0.102 0.608 0.415 N
0.102 0.994 0.687 N
0.108 0.006 0.193 N
0.108 0.602 0.915 N
0.187 0.193 0.585 N
0.187 0.494 0.602 N
0.193 0.108 0.006 N
0.193 0.585 0.187 N
0.307 0.313 0.915 N
0.307 0.494 0.392 N
0.313 0.898 0.006 N
0.313 0.915 0.307 N
0.392 0.307 0.494 N
0.392 0.585 0.898 N
0.398 0.085 0.892 N
0.398 0.813 0.506 N
0.415 0.102 0.608 N
0.415 0.813 0.807 N
0.494 0.392 0.307 N
0.494 0.602 0.187 N
0.506 0.398 0.813 N
0.506 0.608 0.693 N
0.585 0.187 0.193 N
0.585 0.898 0.392 N
0.602 0.187 0.494 N
0.602 0.915 0.108 N
0.608 0.415 0.102 N
0.608 0.693 0.506 N
0.687 0.085 0.693 N
0.687 0.102 0.994 N
0.693 0.506 0.608 N
0.693 0.687 0.085 N
0.807 0.415 0.813 N
0.807 0.892 0.994 N
0.813 0.506 0.398 N
0.813 0.807 0.415 N
0.892 0.398 0.085 N
0.892 0.994 0.807 N
0.898 0.006 0.313 N
0.898 0.392 0.585 N
0.915 0.108 0.602 N
0.915 0.307 0.313 N
0.994 0.687 0.102 N
0.994 0.807 0.892 N
```

Summary:
As for the total moment: 0.000 μB/atom. For the theoretical density, the calculation gives 6.1 g/cm³. The total energy comes out at -7.416 eV/atom. The uncorrected formation energy is 1.9 eV per formula unit.

***

Compound: LaCoN
Source: the Alexandria database
Functional: GGA-PBE
Structure: relaxed

```
LaCoN
1.0
3.588 0.000 0.000
-1.794 3.107 0.000
0.000 0.000 3.893
La Co N
1 1 1
Direct
0.000 0.000 0.000 La
0.667 0.333 0.500 Co
0.333 0.667 0.500 N
```

Summary:
As for the total moment: 0.000 μB/atom. For the theoretical density, the calculation gives 8.1 g/cm³. The total energy comes out at -7.112 eV/atom. The uncorrected formation energy is -1.0 eV per formula unit.

***

Compound: LaCoN3
Source: the Alexandria database
Functional: GGA-PBE
Structure: relaxed

```
LaCoN3
1.0
-1.800 1.800 13.143
1.800 -1.800 13.143
1.800 1.800 -13.143
La Co N
2 2 6
Direct
0.000 0.000 0.000 La
0.750 0.250 0.500 La
0.181 0.681 0.500 Co
0.319 0.819 0.500 Co
0.318 0.318 0.000 N
0.431 0.088 0.342 N
0.682 0.682 0.000 N
0.746 0.088 0.658 N
0.912 0.254 0.342 N
0.912 0.569 0.658 N
```

Summary:
As for the total moment: 0.123 μB/atom. For the theoretical density, the calculation gives 4.7 g/cm³. The total energy comes out at -7.257 eV/atom. The uncorrected formation energy is 0.7 eV per formula unit.

***

Compound: LaCoN3
Source: the Alexandria database
Functional: GGA-PBE
Structure: relaxed

```
LaCoN3
1.0
4.032 0.000 0.000
-0.095 5.713 0.000
-1.805 -1.897 5.680
La Co N
2 2 6
Direct
0.000 0.000 0.000 La
0.418 0.411 0.729 La
0.368 0.566 0.232 Co
0.821 0.917 0.430 Co
0.018 0.409 0.953 N
0.266 0.911 0.640 N
0.505 0.790 0.570 N
0.539 0.287 0.286 N
0.546 0.784 0.127 N
0.812 0.241 0.418 N
```

Summary:
As for the total moment: 0.000 μB/atom. For the theoretical density, the calculation gives 6.1 g/cm³. The total energy comes out at -7.795 eV/atom. The uncorrected formation energy is -2.0 eV per formula unit.

***

Compound: LaCoN3
Source: the Alexandria database
Functional: GGA-PBE
Structure: relaxed

```
LaCoN3
1.0
5.314 0.000 0.000
0.000 8.874 0.000
0.000 0.000 5.871
La Co N
4 4 12
Direct
0.000 0.000 0.000 La
0.000 0.500 0.000 La
0.500 0.000 0.500 La
0.500 0.500 0.500 La
0.059 0.250 0.419 Co
0.441 0.750 0.919 Co
0.559 0.250 0.081 Co
0.941 0.750 0.581 Co
0.001 0.062 0.561 N
0.001 0.438 0.561 N
0.114 0.750 0.846 N
0.386 0.250 0.346 N
0.499 0.562 0.061 N
0.499 0.938 0.061 N
0.501 0.062 0.939 N
0.501 0.438 0.939 N
0.614 0.750 0.654 N
0.886 0.250 0.154 N
0.999 0.562 0.439 N
0.999 0.938 0.439 N
```

Summary:
As for the total moment: 0.170 μB/atom. For the theoretical density, the calculation gives 5.8 g/cm³. The total energy comes out at -7.811 eV/atom. The uncorrected formation energy is -2.0 eV per formula unit.

***

Compound: LaCoN3
Source: the Alexandria database
Functional: GGA-PBE
Structure: relaxed

```
LaCoN3
1.0
3.734 0.000 0.000
0.000 3.916 0.000
0.000 0.000 9.128
La Co N
2 2 6
Direct
0.000 0.000 0.188 La
0.000 0.000 0.812 La
0.500 0.000 0.500 Co
0.500 0.500 0.000 Co
0.000 0.500 0.000 N
0.500 0.000 0.000 N
0.500 0.341 0.357 N
0.500 0.341 0.643 N
0.500 0.659 0.357 N
0.500 0.659 0.643 N
```

Summary:
As for the total moment: 0.169 μB/atom. For the theoretical density, the calculation gives 6.0 g/cm³. The total energy comes out at -7.850 eV/atom. The uncorrected formation energy is -2.2 eV per formula unit.

***

Compound: La2CoNiN
Source: the Alexandria database
Functional: GGA-PBE
Structure: relaxed

```
La2CoNiN
1.0
5.182 0.000 0.000
0.000 5.182 0.000
0.000 0.000 3.564
La Co Ni N
2 1 1 1
Direct
0.000 0.500 0.000 La
0.500 0.000 0.000 La
0.000 0.000 0.500 Co
0.500 0.500 0.500 Ni
0.000 0.000 0.000 N
```

Summary:
As for the total moment: 0.000 μB/atom. For the theoretical density, the calculation gives 7.1 g/cm³. The total energy comes out at -6.805 eV/atom. The uncorrected formation energy is -3.0 eV per formula unit.

***

Compound: LaNp2CoN4
Source: the Alexandria database
Functional: GGA-PBE
Structure: relaxed

```
LaNp2CoN4
1.0
1.731 -5.690 0.000
1.731 5.690 0.000
0.000 0.000 11.362
La Np Co N
2 4 2 8
Direct
0.102 0.898 0.750 La
0.898 0.102 0.250 La
0.369 0.631 0.557 Np
0.369 0.631 0.943 Np
0.631 0.369 0.057 Np
0.631 0.369 0.443 Np
0.161 0.839 0.250 Co
0.839 0.161 0.750 Co
0.000 0.000 0.000 N
0.000 0.000 0.500 N
0.262 0.738 0.109 N
0.262 0.738 0.391 N
0.435 0.565 0.750 N
0.565 0.435 0.250 N
0.738 0.262 0.609 N
0.738 0.262 0.891 N
```

Summary:
As for the total moment: 0.500 μB/atom. For the theoretical density, the calculation gives 10.8 g/cm³. The total energy comes out at -9.970 eV/atom. The uncorrected formation energy is -8.5 eV per formula unit.

***

Compound: La2NpCoN5
Source: the Alexandria database
Functional: GGA-PBE
Structure: relaxed

```
La2NpCoN5
1.0
1.756 -6.948 0.000
1.756 6.948 0.000
0.000 0.000 10.616
La Np Co N
4 2 2 10
Direct
0.107 0.893 0.500 La
0.129 0.871 0.149 La
0.871 0.129 0.649 La
0.893 0.107 0.000 La
0.193 0.807 0.842 Np
0.807 0.193 0.342 Np
0.454 0.546 0.254 Co
0.546 0.454 0.754 Co
0.033 0.967 0.817 N
0.294 0.706 0.469 N
0.320 0.680 0.213 N
0.338 0.662 0.828 N
0.494 0.506 0.594 N
0.506 0.494 0.094 N
0.662 0.338 0.328 N
0.680 0.320 0.713 N
0.706 0.294 0.969 N
0.967 0.033 0.317 N
```

Summary:
As for the total moment: 0.112 μB/atom. For the theoretical density, the calculation gives 8.3 g/cm³. The total energy comes out at -8.835 eV/atom. The uncorrected formation energy is -8.0 eV per formula unit.